No. 1
Compound: NpV2H8
Source: the Alexandria database
Functional: PBE-GGA
Structure: relaxed

calculated volume: 7.842 Å³/atom
total DFT energy (no corrections): -5.34 eV/atom

Lattice parameters (Å, degrees): 4.127 4.127 5.066 90.00 90.00 90.00
Last column: magnetic moment on the atom in μB.
Element x y z (fractional)
Np1 0.500 0.500 0.500  3.61
V1 0.500 0.000 0.000  -0.30
V2 0.000 0.500 0.000  -0.30
H1 0.776 0.776 0.209  0.00
H2 0.776 0.224 0.791  0.00
H3 0.776 0.776 0.791  0.00
H4 0.776 0.224 0.209  0.00
H5 0.224 0.776 0.209  0.00
H6 0.224 0.776 0.791  0.00
H7 0.224 0.224 0.209  0.00
H8 0.224 0.224 0.791  0.00

---

No. 2
Compound: Al2GaRe
Source: the Alexandria database
Functional: PBE-GGA
Structure: relaxed

E_form: -0.016 eV/atom
calculated volume: 15.775 Å³/atom
total DFT energy (no corrections): -5.76 eV/atom

Lattice parameters (Å, degrees): 2.919 2.919 8.715 80.36 80.36 60.00
Element x y z (fractional)
Re1 0.000 0.000 0.000
Al1 0.255 0.255 0.236
Al2 0.745 0.745 0.764
Ga1 0.500 0.500 0.500

---

No. 3
Compound: CaLa2TlN
Source: the Alexandria database
Functional: PBE-GGA
Structure: relaxed

calculated volume: 26.227 Å³/atom
total DFT energy (no corrections): -5.33 eV/atom
formation energy from raw total energies: -0.8154 eV/atom

Lattice parameters (Å, degrees): 5.128 5.128 4.987 90.00 90.00 90.00
Element x y z (fractional)
Tl1 0.500 0.500 0.500
N1 0.000 0.000 0.000
Ca1 0.000 0.000 0.500
La1 0.000 0.500 0.000
La2 0.500 0.000 0.000

---

Number 1: DOS at the Fermi energy 9.31 states/eV per cell. Number 2: DOS at the Fermi energy 2.62 states/eV per cell. Number 3: DOS at the Fermi energy 2.31 states/eV per cell.